1 | ## MgTcRh (SCAN)

Data for a crystal of MgTcRh relaxed with PBEsol.

a b c (Å): 5.871 5.871 5.871
angles (deg): 90.00 90.00 90.00
Space group F-43m (No. 216)
One atom of each set of equivalent atoms:
Mg (0.000, 0.000, 0.000) [4 per cell]
Tc (0.000, 0.000, 0.500) [4 per cell]
Rh (0.250, 0.250, 0.250) [4 per cell]

N(E_F), states/eV per atom: 0.556
Volume, Å³/atom: 16.9
Crystal system: cubic



2 | ## MgTcRh (SCAN)

Data for a crystal of MgTcRh relaxed with PBEsol.

a b c (Å): 2.7651 2.7651 6.7370
angles (deg): 90.00 90.00 120.00
Space group P3m1 (No. 156)
One atom of each set of equivalent atoms:
Mg (0.0000, 0.0000, 0.0000) [1 per cell]
Tc (0.6667, 0.3333, 0.3575) [1 per cell]
Rh (0.3333, 0.6667, 0.6607) [1 per cell]

N(E_F), states/eV per atom: 1.092
Volume, Å³/atom: 14.9
Crystal system: trigonal



Stability check: which of them is most stable? 2.



1 | ## MgZn2Rh2 (SCAN)

Data for a crystal of MgZn2Rh2 relaxed with PBEsol.

a b c (Å): 3.634 3.634 11.945
angles (deg): 90.00 90.00 90.00
Space group I4/mmm (No. 139)
One atom of each set of equivalent atoms:
Mg (0.000, 0.000, 0.000) [2 per cell]
Zn (0.000, 0.500, 0.250) [4 per cell]
Rh (0.000, 0.000, 0.394) [4 per cell]

N(E_F), states/eV per atom: 0.539
Volume, Å³/atom: 15.8
Crystal system: tetragonal



2 | ## MgZn2Rh2 (SCAN)

Data for a crystal of MgZn2Rh2 relaxed with PBEsol.

a b c (Å): 6.923 6.923 3.083
angles (deg): 90.00 90.00 90.00
Space group P4/mbm (No. 127)
One atom of each set of equivalent atoms:
Mg (0.000, 0.000, 0.000) [2 per cell]
Zn (0.155, 0.345, 0.500) [4 per cell]
Rh (0.142, 0.642, 0.000) [4 per cell]

N(E_F), states/eV per atom: 0.350
Volume, Å³/atom: 14.8
Crystal system: tetragonal



Stability check: which of them is most stable? 2.



1 | ## MgSbRu2 (SCAN)

Data for a crystal of MgSbRu2 relaxed with PBEsol.

a b c (Å): 6.340 6.340 6.340
angles (deg): 90.00 90.00 90.00
Space group F-43m (No. 216)
One atom of each set of equivalent atoms:
Mg (0.000, 0.000, 0.000) [4 per cell]
Sb (0.250, 0.250, 0.250) [4 per cell]
Ru (0.000, 0.000, 0.500) [4 per cell]
Ru (0.250, 0.250, 0.750) [4 per cell]

N(E_F), states/eV per atom: 0.964
Volume, Å³/atom: 15.9
Crystal system: cubic



2 | ## MgSbRu2 (SCAN)

Data for a crystal of MgSbRu2 relaxed with PBEsol.

a b c (Å): 4.400 4.400 3.151
angles (deg): 90.00 90.00 90.00
Space group P4/mmm (No. 123)
One atom of each set of equivalent atoms:
Mg (0.000, 0.000, 0.000) [1 per cell]
Sb (0.500, 0.500, 0.000) [1 per cell]
Ru (0.000, 0.500, 0.500) [2 per cell]

N(E_F), states/eV per atom: 0.604
Volume, Å³/atom: 15.2
Crystal system: tetragonal



Stability check: which of them is most stable? 2.



1 | ## MgSbRu2 (SCAN)

Data for a crystal of MgSbRu2 relaxed with PBEsol.

a b c (Å): 5.829 8.404 2.941
angles (deg): 90.00 116.36 90.00
Space group C2/m (No. 12)
One atom of each set of equivalent atoms:
Mg (0.000, 0.000, 0.000) [2 per cell]
Sb (0.000, 0.500, 0.000) [2 per cell]
Ru (0.250, 0.250, 0.500) [4 per cell]

N(E_F), states/eV per atom: 0.657
Volume, Å³/atom: 16.1
Crystal system: monoclinic



2 | ## MgSbRu2 (SCAN)

Data for a crystal of MgSbRu2 relaxed with PBEsol.

a b c (Å): 9.583 3.041 4.590
angles (deg): 90.00 109.80 90.00
Space group Cm (No. 8)
One atom of each set of equivalent atoms:
Mg (0.000, 0.000, 0.000) [2 per cell]
Sb (0.226, 0.000, 0.619) [2 per cell]
Ru (0.250, 0.500, 0.121) [2 per cell]
Ru (0.482, 0.000, 0.499) [2 per cell]

N(E_F), states/eV per atom: 0.521
Volume, Å³/atom: 15.7
Crystal system: monoclinic



Stability check: which of them is most stable? 2.